Entry from Alexandria: a geometry-optimized Cu2Te6As structure (PBE).

Cell lengths 12.413, 13.448, 7.138 Å; angles 90.00, 120.15, 90.00 degrees
Space group C2/c (No. 15)
Symmetry-distinct sites (fractional):
Cu: 0.161 0.068 0.269 [8 per cell]
Te: 0.094 0.100 0.556 [8 per cell]
Te: 0.100 0.425 0.603 [8 per cell]
Te: 0.195 0.260 0.160 [8 per cell]
As: 0.000 0.308 0.250 [4 per cell]

Properties
density: 6.2 Mg/m³
total DFT energy (no corrections): -124.233 eV per cell
D(E_F): 16.96 states/eV per cell

Entry from Alexandria: a geometry-optimized Cu2Te4As structure (PBE).

Cell lengths 6.012, 6.012, 5.547 Å; angles 90.00, 90.00, 90.00 degrees
Space group P-42m (No. 111)
Symmetry-distinct sites (fractional):
Cu: 0.000 0.500 0.000 [2 per cell]
Te: 0.227 0.227 0.748 [4 per cell]
As: 0.500 0.500 0.500 [1 per cell]

Properties
density: 5.9 Mg/m³
total DFT energy (no corrections): -25.125 eV per cell
D(E_F): 5.05 states/eV per cell

Entry from Alexandria: a geometry-optimized CuTeAs3 structure (PBE).

Cell lengths 4.769, 4.769, 4.769 Å; angles 90.00, 90.00, 90.00 degrees
Space group Pm-3m (No. 221)
Symmetry-distinct sites (fractional):
Cu: 0.000 0.000 0.000 [1 per cell]
Te: 0.500 0.500 0.500 [1 per cell]
As: 0.000 0.000 0.500 [3 per cell]

Properties
density: 6.4 Mg/m³
total DFT energy (no corrections): -18.365 eV per cell
ΔE to the lowest computed polymorph: 0.00 eV/f.u.
D(E_F): 4.39 states/eV per cell

Entry from Alexandria: a geometry-optimized CuTe2As2 structure (PBE).

Cell lengths 5.705, 5.705, 8.380 Å; angles 90.00, 90.00, 90.00 degrees
Space group I4/mmm (No. 139)
Symmetry-distinct sites (fractional):
Cu: 0.000 0.000 0.000 [2 per cell]
Te: 0.000 0.000 0.295 [4 per cell]
As: 0.000 0.500 0.250 [4 per cell]

Properties
density: 5.7 Mg/m³
total DFT energy (no corrections): -35.931 eV per cell
ΔE to the lowest computed polymorph: 0.00 eV/f.u.
D(E_F): 6.79 states/eV per cell

Entry from Alexandria: a geometry-optimized Cu2TeAs2 structure (PBE).

Cell lengths 8.095, 8.095, 2.838 Å; angles 90.00, 90.00, 90.00 degrees
Space group P4/mbm (No. 127)
Symmetry-distinct sites (fractional):
Cu: 0.142 0.358 0.000 [4 per cell]
Te: 0.000 0.000 0.500 [2 per cell]
As: 0.148 0.648 0.500 [4 per cell]

Properties
density: 7.2 Mg/m³
total DFT energy (no corrections): -38.201 eV per cell
ΔE to the lowest computed polymorph: 0.30 eV/f.u.
D(E_F): 3.83 states/eV per cell

Entry from Alexandria: a geometry-optimized CuTe3As structure (PBE).

Cell lengths 5.382, 5.382, 5.382 Å; angles 90.00, 90.00, 90.00 degrees
Space group Pm-3m (No. 221)
Symmetry-distinct sites (fractional):
Cu: 0.000 0.000 0.000 [1 per cell]
Te: 0.000 0.500 0.500 [3 per cell]
As: 0.500 0.500 0.500 [1 per cell]

Properties
density: 5.6 Mg/m³
total DFT energy (no corrections): -14.175 eV per cell
ΔE to the lowest computed polymorph: 3.92 eV/f.u.
D(E_F): 3.96 states/eV per cell